The following is a DFT calculation (PBEsol) of crystalline In3AsSe3 at its relaxed geometry.

Cell and atoms, written as POSCAR:
```
In3AsSe3
1.0
4.150 0.000 0.000
0.000 16.493 0.000
0.000 0.000 5.886
In As Se
6 2 6
direct
0.000 0.065 0.000
0.000 0.300 0.002
0.000 0.567 0.013
0.500 0.433 0.513
0.500 0.700 0.502
0.500 0.935 0.500
0.000 0.433 0.247
0.500 0.567 0.747
0.000 0.182 0.278
0.000 0.707 0.221
0.000 0.926 0.218
0.500 0.074 0.718
0.500 0.293 0.721
0.500 0.818 0.778
```

Summary:
magnetic moment: 0.00 Bohr magnetons per cell
VASP energy: -4.048 eV/atom
formation energy from raw total energies: -2.729 eV per formula unit
space group: Pmn2_1, No. 31